No. 1
Material: Mg2TlGePt
Method: DFT, PBE
State: relaxed

## Properties
Energy of formation from the pure elements, kJ/mol of formula units: -125
Space-group type: P4/mmm (123)
Raw total energy, eV for the cell shown: -17.51

```
5
Lattice="5.157 0.000 0.000 0.000 5.157 0.000 0.000 0.000 4.687" Properties=species:S:1:pos:R:3 pbc="T T T"
Mg 0.000 2.578 0.000
Mg 2.578 0.000 0.000
Tl 0.000 0.000 2.344
Ge 2.578 2.578 2.344
Pt 2.578 2.578 0.000
```


No. 2
Material: Rb2PaAg2Te4
Method: DFT, PBE
State: relaxed

## Properties
Space-group type: C2/m (12)
Raw total energy, eV for the cell shown: -36.59

```
9
Lattice="8.271 -2.276 0.000 8.271 2.276 0.000 -2.880 0.000 8.273" Properties=species:S:1:pos:R:3 pbc="T T T"
Rb 2.024 0.000 0.617
Rb 11.638 0.000 7.656
Pa -1.440 0.000 4.137
Ag 3.792 0.000 4.258
Ag 9.870 0.000 4.015
Te 1.227 0.000 5.713
Te 5.950 0.000 6.098
Te 7.712 0.000 2.175
Te 12.435 0.000 2.560
```


No. 3
Material: TbSm6Dy3Tm2
Method: DFT, PBE
State: relaxed

## Properties
Energy of formation from the pure elements, kJ/mol of formula units: 17
Space-group type: C2/m (12)
Raw total energy, eV for the cell shown: -55.52

```
12
Lattice="3.102 -5.371 0.000 3.102 5.371 0.000 -2.060 0.000 11.615" Properties=species:S:1:pos:R:3 pbc="T T T"
Tb 0.000 0.000 0.000
Sm 1.040 1.793 2.894
Sm 0.006 0.000 8.723
Sm 1.040 -1.793 2.894
Sm 3.104 1.793 8.722
Sm 4.139 0.000 2.893
Sm 3.104 -1.793 8.722
Dy 2.072 3.579 5.808
Dy 2.072 0.000 5.808
Dy 2.072 -3.579 5.808
Tm 3.102 1.790 0.000
Tm 3.102 -1.790 0.000
```